[1]
## ScOs3N (GGA-PBE)

Data for an optimized crystal structure of ScOs3N.

a b c (Å): 4.1020 4.1020 4.1020
angles (deg): 90.00 90.00 90.00
Fractional positions:
Os (0.5000, 0.0000, 0.0000)
Os (0.0000, 0.5000, 0.0000)
Os (0.0000, 0.0000, 0.5000)
N (0.0000, 0.0000, 0.0000)
Sc (0.5000, 0.5000, 0.5000)

Calculated values
Distance to the lowest polymorph of the same formula   0 meV/atom
D(E_F)   0.512 states/eV/atom

[2]
## LaPu2Ru9 (GGA-PBE)

Data for an optimized crystal structure of LaPu2Ru9.

a b c (Å): 5.2502 5.2502 9.3361
angles (deg): 73.67 73.67 60.00
Last column: magnetic moment on the atom in μB.
Fractional positions:
Ru (0.9223, 0.4137, 0.2503)  -0.31
Ru (0.5863, 0.0777, 0.7497)  -0.31
Ru (0.4137, 0.4137, 0.2503)  -0.31
Ru (0.5863, 0.5863, 0.7497)  -0.31
Ru (0.5000, 0.5000, 0.5000)  -0.47
Ru (0.6637, 0.6637, 0.0090)  -0.12
Ru (0.0777, 0.5863, 0.7497)  -0.31
Ru (0.3363, 0.3363, 0.9910)  -0.12
Ru (0.4137, 0.9223, 0.2503)  -0.31
Pu (0.8594, 0.8594, 0.4219)  4.79
Pu (0.1406, 0.1406, 0.5781)  4.79
La (0.0000, 0.0000, 0.0000)  0.03

Calculated values
Formation energy from the elements   -0.0116 eV/atom
D(E_F)   2.231 states/eV/atom

[3]
## CeYIr (GGA-PBE)

Data for an optimized crystal structure of CeYIr.

a b c (Å): 3.8415 6.3030 7.1630
angles (deg): 73.59 74.45 72.26
Last column: magnetic moment on the atom in μB.
Fractional positions:
Ce (0.7544, 0.3767, 0.1146)  0.63
Ce (0.3432, 0.8909, 0.4227)  0.46
Y (0.5857, 0.9500, 0.8787)  0.08
Y (0.0055, 0.4074, 0.5816)  0.05
Ir (0.0328, 0.7334, 0.2010)  -0.03
Ir (0.3018, 0.5814, 0.8149)  -0.02

Calculated values
Formation energy from the elements   -0.5791 eV/atom
Distance to the lowest polymorph of the same formula   0 meV/atom
D(E_F)   1.804 states/eV/atom

[4]
## MnCoOs2 (GGA-PBE)

Data for an optimized crystal structure of MnCoOs2.

a b c (Å): 3.9821 2.6312 4.9545
angles (deg): 74.58 90.00 90.00
Last column: magnetic moment on the atom in μB.
Fractional positions:
Os (0.0000, 0.9548, 0.9652)  -0.13
Os (0.5000, 0.2936, 0.2883)  -0.08
Co (0.0000, 0.6904, 0.4942)  0.12
Mn (0.5000, 0.5613, 0.7524)  0.78

Calculated values
Formation energy from the elements   0.0764 eV/atom
Distance to the lowest polymorph of the same formula   12 meV/atom
D(E_F)   1.007 states/eV/atom

Please write out number 3 again, unchanged.
## CeYIr (GGA-PBE)

Data for an optimized crystal structure of CeYIr.

a b c (Å): 3.8415 6.3030 7.1630
angles (deg): 73.59 74.45 72.26
Last column: magnetic moment on the atom in μB.
Fractional positions:
Ce (0.7544, 0.3767, 0.1146)  0.63
Ce (0.3432, 0.8909, 0.4227)  0.46
Y (0.5857, 0.9500, 0.8787)  0.08
Y (0.0055, 0.4074, 0.5816)  0.05
Ir (0.0328, 0.7334, 0.2010)  -0.03
Ir (0.3018, 0.5814, 0.8149)  -0.02

Calculated values
Formation energy from the elements   -0.5791 eV/atom
Distance to the lowest polymorph of the same formula   0 meV/atom
D(E_F)   1.804 states/eV/atom